CeU3Pa2P6 | PBE | optimized geometry

Cell lengths 6.8300, 6.8300, 6.9445 Å; angles 99.44, 99.44, 119.99 degrees
Closest atoms and distances in Å follow each position.
Fractional positions:
Ce1 0.0000 0.0000 0.0000  6 P 2.85
U1 0.1646 0.8354 0.5000  6 P 2.78-2.80
U2 0.5000 0.5000 0.5000  6 P 2.77-2.80
U3 0.8354 0.1646 0.5000  6 P 2.78-2.80
Pa1 0.3330 0.6670 0.0000  6 P 2.81
Pa2 0.6670 0.3330 0.0000  6 P 2.81
P1 0.0853 0.4231 0.2555  3 U 2.78-2.80, 2 Pa 2.81, 1 Ce 2.85
P2 0.2534 0.2534 0.7462  3 U 2.77-2.79, 2 Pa 2.81, 1 Ce 2.85
P3 0.4231 0.0853 0.2555  3 U 2.78-2.80, 2 Pa 2.81, 1 Ce 2.85
P4 0.5769 0.9147 0.7445  3 U 2.78-2.80, 2 Pa 2.81, 1 Ce 2.85
P5 0.7466 0.7466 0.2538  3 U 2.77-2.79, 2 Pa 2.81, 1 Ce 2.85
P6 0.9147 0.5769 0.7445  3 U 2.78-2.80, 2 Pa 2.81, 1 Ce 2.85

Final energy   -8.773 eV/atom
Space group   No. 12